Compound: TbNd4Ho2Er
Source: Alexandria via LeMat-Bulk
Functional: PBE-GGA
Structure: relaxed Values from VASP.

## Properties
As for the formation energy: 0.0165 eV/atom. Its space group is Pmmm. The calculation puts the magnetization at 0.00 μB/cell. Its crystal system is orthorhombic. For the density of states at the Fermi level, the calculation gives 10.69 states/eV/cell.

Geometry as Quantum ESPRESSO input:
```
&SYSTEM
  ibrav = 0, nat = 8, ntyp = 4
/
ATOMIC_SPECIES
Tb 158.93 Tb.upf
Nd 144.24 Nd.upf
Ho 164.93 Ho.upf
Er 167.26 Er.upf
CELL_PARAMETERS angstrom
5.141 0.000 0.000
0.000 5.017 0.990
0.000 3.071 10.863
ATOMIC_POSITIONS crystal
Tb 0.500 0.500 0.000
Nd 0.000 0.751 0.749
Nd 0.000 0.249 0.251
Nd 0.500 0.749 0.251
Nd 0.500 0.251 0.749
Ho 0.000 0.000 0.000
Ho 0.500 0.000 0.500
Er 0.000 0.500 0.500
```

***

Compound: Tb5Nd2HoEr
Source: Alexandria via LeMat-Bulk
Functional: PBE-GGA
Structure: relaxed Values from VASP.

## Properties
As for the formation energy: 0.2757 eV/atom. Its space group is I4/mcm. The calculation puts the magnetization at 0.00 μB/cell. Its crystal system is tetragonal. For the density of states at the Fermi level, the calculation gives 24.76 states/eV/cell.

Geometry as Quantum ESPRESSO input:
```
&SYSTEM
  ibrav = 0, nat = 18, ntyp = 4
/
ATOMIC_SPECIES
Tb 158.93 Tb.upf
Nd 144.24 Nd.upf
Ho 164.93 Ho.upf
Er 167.26 Er.upf
CELL_PARAMETERS angstrom
-8.386 0.164 -1.831
1.497 -4.356 -7.245
2.452 -4.778 8.467
ATOMIC_POSITIONS crystal
Tb 0.927 0.427 0.283
Tb 0.644 0.144 0.717
Tb 0.073 0.573 0.717
Tb 0.144 0.073 0.717
Tb 0.573 0.644 0.717
Tb 0.856 0.927 0.283
Tb 0.427 0.356 0.283
Tb 0.356 0.856 0.283
Tb 0.500 0.500 0.000
Tb 0.000 0.000 0.000
Nd 0.119 0.381 0.000
Nd 0.619 0.119 0.000
Nd 0.381 0.881 0.000
Nd 0.881 0.619 0.000
Ho 0.250 0.250 0.500
Ho 0.750 0.750 0.500
Er 0.250 0.750 0.500
Er 0.750 0.250 0.500
```

***

Compound: TbNdHoEr
Source: Alexandria via LeMat-Bulk
Functional: PBE-GGA
Structure: relaxed Values from VASP.

## Properties
As for the formation energy: 0.0185 eV/atom. The value obtained for the energy above the most stable polymorph in this dataset is 0.000 eV per atom. Its space group is R3m. The calculation puts the magnetization at 0.00 μB/cell. Its crystal system is trigonal. For the density of states at the Fermi level, the calculation gives 5.58 states/eV/cell.

Geometry as Quantum ESPRESSO input:
```
&SYSTEM
  ibrav = 0, nat = 4, ntyp = 4
/
ATOMIC_SPECIES
Tb 158.93 Tb.upf
Nd 144.24 Nd.upf
Ho 164.93 Ho.upf
Er 167.26 Er.upf
CELL_PARAMETERS angstrom
-1.035 1.385 -3.141
2.518 -2.551 0.092
-8.334 -8.184 1.183
ATOMIC_POSITIONS crystal
Tb 0.301 0.549 0.866
Nd 0.970 0.384 0.370
Ho 0.134 0.965 0.113
Er 0.472 0.134 0.621
```

***

Compound: TbNd3Ho2Er6
Source: Alexandria via LeMat-Bulk
Functional: PBE-GGA
Structure: relaxed Values from VASP.

## Properties
As for the formation energy: 0.0201 eV/atom. Its space group is C2/m. The calculation puts the magnetization at 0.00 μB/cell. Its crystal system is monoclinic. For the density of states at the Fermi level, the calculation gives 15.44 states/eV/cell.

Geometry as Quantum ESPRESSO input:
```
&SYSTEM
  ibrav = 0, nat = 12, ntyp = 4
/
ATOMIC_SPECIES
Tb 158.93 Tb.upf
Nd 144.24 Nd.upf
Ho 164.93 Ho.upf
Er 167.26 Er.upf
CELL_PARAMETERS angstrom
6.168 0.000 0.000
-3.082 5.343 0.000
-1.025 -1.775 11.556
ATOMIC_POSITIONS crystal
Tb 0.000 0.000 0.000
Nd 0.167 0.833 0.500
Nd 0.833 0.167 0.500
Nd 0.500 0.500 0.500
Ho 0.333 0.667 0.000
Ho 0.667 0.333 0.000
Er 0.918 0.584 0.754
Er 0.749 0.749 0.246
Er 0.082 0.416 0.246
Er 0.584 0.918 0.754
Er 0.251 0.251 0.754
Er 0.416 0.082 0.246
```